(1)
# Pr3CdIn

An optimized crystal structure of Pr3CdIn (PBE-GGA, Alexandria).

Output
ΔE_f ... -166 meV per atom
Energy above the most stable polymorph in this dataset ... 139 meV/atom
SG ... Pmmn

Geometry as POSCAR:
```
Pr3CdIn
1.0
5.064 0.000 0.000
0.000 7.118 0.000
0.000 0.000 9.379
Pr Cd In
6 2 2
Direct
0.250 0.007 0.206 Pr
0.250 0.250 0.565 Pr
0.250 0.493 0.206 Pr
0.750 0.507 0.794 Pr
0.750 0.750 0.435 Pr
0.750 0.993 0.794 Pr
0.250 0.250 0.912 Cd
0.750 0.750 0.088 Cd
0.250 0.750 0.643 In
0.750 0.250 0.357 In
```

---

(2)
# AlZnMo2

An optimized crystal structure of AlZnMo2 (PBE-GGA, Alexandria).

Output
ΔE_f ... 5 meV per atom
SG ... I-4m2

Geometry as POSCAR:
```
AlZnMo2
1.0
-2.015 2.015 3.735
2.015 -2.015 3.735
2.015 2.015 -3.735
Al Zn Mo
1 1 2
Direct
0.000 0.000 0.000 Al
0.750 0.250 0.500 Zn
0.250 0.750 0.500 Mo
0.500 0.500 0.000 Mo
```

---

(3)
# Ac3Y2ErSe6

An optimized crystal structure of Ac3Y2ErSe6 (PBE-GGA, Alexandria).

Output
Formation energy without anion corrections ... -1801 meV per atom
SG ... C2/m

Geometry as POSCAR:
```
Ac3Y2ErSe6
1.0
3.598 -6.247 0.000
3.598 6.247 0.000
-2.410 0.000 7.333
Ac Y Er Se
3 2 1 6
Direct
0.000 0.000 0.000 Ac
0.332 0.668 0.000 Ac
0.668 0.332 0.000 Ac
0.167 0.833 0.500 Y
0.833 0.167 0.500 Y
0.500 0.500 0.500 Er
0.097 0.428 0.282 Se
0.243 0.243 0.719 Se
0.428 0.097 0.282 Se
0.572 0.903 0.718 Se
0.757 0.757 0.281 Se
0.903 0.572 0.718 Se
```

---

(4)
# Sr2TiAu

An optimized crystal structure of Sr2TiAu (PBE-GGA, Alexandria).

Output
ΔE_f ... 331 meV per atom
Energy above the most stable polymorph in this dataset ... 0 meV/atom
SG ... I-42d

Geometry as POSCAR:
```
Sr2TiAu
1.0
-4.502 4.502 3.256
4.502 -4.502 3.256
4.502 4.502 -3.256
Sr Ti Au
4 2 2
Direct
0.075 0.625 0.950 Sr
0.375 0.325 0.450 Sr
0.675 0.125 0.050 Sr
0.875 0.925 0.550 Sr
0.250 0.750 0.500 Ti
0.500 0.500 0.000 Ti
0.000 0.000 0.000 Au
0.750 0.250 0.500 Au
```

---

(5)
# MgSb2Pb

An optimized crystal structure of MgSb2Pb (PBE-GGA, Alexandria).

Output
Formation energy without anion corrections ... -32 meV per atom
Energy above the most stable polymorph in this dataset ... 27 meV/atom
SG ... R3m

Geometry as POSCAR:
```
MgSb2Pb
1.0
2.324 1.342 6.435
-2.324 1.342 6.435
0.000 -2.683 6.435
Mg Sb Pb
1 2 1
Direct
0.000 0.000 0.000 Mg
0.406 0.406 0.406 Sb
0.601 0.601 0.601 Sb
0.172 0.172 0.172 Pb
```

---

(6)
# CaReAg2

An optimized crystal structure of CaReAg2 (PBE-GGA, Alexandria).

Output
ΔE_f ... 518 meV per atom
Energy above the most stable polymorph in this dataset ... 44 meV/atom
SG ... C2/m

Geometry as POSCAR:
```
CaReAg2
1.0
3.018 -4.360 0.000
3.018 4.360 0.000
-0.018 0.000 2.795
Ca Re Ag
1 1 2
Direct
0.000 0.000 0.000 Ca
0.500 0.500 0.000 Re
0.000 0.500 0.500 Ag
0.500 0.000 0.500 Ag
```

---

no.,volume (A^3/atom),M_tot (μB per formula unit)
1,33.809,0.0
2,15.170,0.0
3,27.470,0.0
4,32.997,3.1
5,30.094,0.0
6,18.387,0.0